This record from the Alexandria database describes a relaxed BaNb3O6 crystal. The functional is PBE-GGA.

Output
The formation energy (no corrections) comes out at -2.0834 eV per atom. Its spin magnetization is 0.00 μB/f.u.

Lattice parameters (Å, degrees): 7.2064 7.2064 7.2064 118.21 118.21 118.21
Element x y z (fractional)
Ba1 0.9344 0.9344 0.9344
Nb1 0.6359 0.6359 0.1742
Nb2 0.6359 0.1742 0.6359
Nb3 0.1742 0.6359 0.6359
O1 0.9535 0.7283 0.1607
O2 0.7283 0.1607 0.9535
O3 0.7283 0.9535 0.1607
O4 0.1607 0.9535 0.7283
O5 0.1607 0.7283 0.9535
O6 0.9535 0.1607 0.7283

***

This record from the Alexandria database describes a relaxed ErPuIn crystal. The functional is PBE-GGA.

Output
As for the energy of formation: -0.09 eV/atom. The calculation puts the distance to the lowest polymorph of the same formula at 0.40 eV per formula unit. Its spin magnetization is 6.13 μB/f.u.

Lattice parameters (Å, degrees): 3.3226 5.2985 5.2985 120.00 90.00 90.00
Element x y z (fractional)
Er1 0.2911 0.6667 0.3333
In1 0.0167 0.0000 0.0000
Pu1 0.6921 0.3333 0.6667

***

This record from the Alexandria database describes a relaxed Pm7Os2Pb2 crystal. The functional is PBE-GGA.

Output
As for the energy of formation: -0.19 eV/atom. Its spin magnetization is 0.00 μB/f.u.

Lattice parameters (Å, degrees): 7.0226 7.3092 7.0226 90.00 105.02 90.00
Element x y z (fractional)
Pm1 0.9998 0.2437 0.5003
Pm2 0.5003 0.7563 0.9998
Pm3 0.0002 0.7563 0.4997
Pm4 0.4997 0.2437 0.0002
Pm5 0.0000 0.0000 0.0000
Pm6 0.5002 0.7687 0.4998
Pm7 0.4998 0.2313 0.5002
Os1 0.7134 0.0000 0.2866
Os2 0.2866 0.0000 0.7134
Pb1 0.8166 0.5000 0.8166
Pb2 0.1834 0.5000 0.1834

***

This record from the Alexandria database describes a relaxed LiSnS crystal. The functional is PBE-GGA.

Output
The calculation puts the distance to the lowest polymorph of the same formula at 0.33 eV per formula unit. The formation energy (no corrections) comes out at -0.6550 eV per atom. Its spin magnetization is 0.00 μB/f.u.

Lattice parameters (Å, degrees): 3.5989 9.7540 3.5541 90.00 90.00 90.00
Element x y z (fractional)
S1 0.0000 0.8413 0.0000
S2 0.5000 0.1587 0.5000
Sn1 0.0000 0.6321 0.5000
Sn2 0.5000 0.3679 0.0000
Li1 0.0000 0.0993 0.0000
Li2 0.5000 0.9007 0.5000